Version one
Computed, not measured: a relaxed ZnCuGeW crystal at the PBE level of DFT.

Results
Magnetic moment (Bohr magnetons per cell): 5.6

The structure in POSCAR format:
```
ZnCuGeW
1.0
6.238 0.000 0.000
0.000 6.238 0.000
0.000 0.000 6.238
Zn Cu Ge W
4 4 4 4
direct
0.000 0.000 0.000
0.000 0.500 0.500
0.500 0.000 0.500
0.500 0.500 0.000
0.000 0.000 0.500
0.000 0.500 0.000
0.500 0.000 0.000
0.500 0.500 0.500
0.250 0.250 0.250
0.250 0.750 0.750
0.750 0.250 0.750
0.750 0.750 0.250
0.250 0.250 0.750
0.250 0.750 0.250
0.750 0.250 0.250
0.750 0.750 0.750
```

Version two
Computed, not measured: a relaxed ZnCuGeW crystal at the PBE level of DFT.

Results
Magnetic moment (Bohr magnetons per cell): 0.1

The structure in POSCAR format:
```
ZnCuGeW
1.0
6.155 0.000 0.000
0.000 6.155 0.000
0.000 0.000 6.155
Zn Cu Ge W
4 4 4 4
direct
0.000 0.000 0.000
0.000 0.500 0.500
0.500 0.000 0.500
0.500 0.500 0.000
0.250 0.250 0.750
0.250 0.750 0.250
0.750 0.250 0.250
0.750 0.750 0.750
0.000 0.000 0.500
0.000 0.500 0.000
0.500 0.000 0.000
0.500 0.500 0.500
0.250 0.250 0.250
0.250 0.750 0.750
0.750 0.250 0.750
0.750 0.750 0.250
```

Which of them is the least stable? Correct choice: version one.

Version one
Computed, not measured: a relaxed ZrZnCuGe crystal at the PBE level of DFT.

Results
Magnetic moment (Bohr magnetons per cell): 0.0

The structure in POSCAR format:
```
ZrZnCuGe
1.0
6.418 0.000 0.000
0.000 6.418 0.000
0.000 0.000 6.418
Zr Zn Cu Ge
4 4 4 4
direct
0.000 0.000 0.000
0.000 0.500 0.500
0.500 0.000 0.500
0.500 0.500 0.000
0.250 0.250 0.250
0.250 0.750 0.750
0.750 0.250 0.750
0.750 0.750 0.250
0.250 0.250 0.750
0.250 0.750 0.250
0.750 0.250 0.250
0.750 0.750 0.750
0.000 0.000 0.500
0.000 0.500 0.000
0.500 0.000 0.000
0.500 0.500 0.500
```

Version two
Computed, not measured: a relaxed ZrZnCuGe crystal at the PBE level of DFT.

Results
Magnetic moment (Bohr magnetons per cell): 0.0

The structure in POSCAR format:
```
ZrZnCuGe
1.0
6.390 0.000 0.000
0.000 6.390 0.000
0.000 0.000 6.390
Zr Zn Cu Ge
4 4 4 4
direct
0.000 0.000 0.000
0.000 0.500 0.500
0.500 0.000 0.500
0.500 0.500 0.000
0.250 0.250 0.750
0.250 0.750 0.250
0.750 0.250 0.250
0.750 0.750 0.750
0.000 0.000 0.500
0.000 0.500 0.000
0.500 0.000 0.000
0.500 0.500 0.500
0.250 0.250 0.250
0.250 0.750 0.750
0.750 0.250 0.750
0.750 0.750 0.250
```

Which of them is the least stable? Correct choice: version one.

Version one
Computed, not measured: a relaxed HfCuHg crystal at the PBE level of DFT.

Results
Magnetic moment (Bohr magnetons per cell): 0.0

The structure in POSCAR format:
```
HfCuHg
1.0
6.177 0.000 0.000
0.000 6.177 0.000
0.000 0.000 6.177
Hf Cu Hg
4 4 4
direct
0.000 0.000 0.000
0.000 0.500 0.500
0.500 0.000 0.500
0.500 0.500 0.000
0.250 0.250 0.250
0.250 0.750 0.750
0.750 0.250 0.750
0.750 0.750 0.250
0.000 0.000 0.500
0.000 0.500 0.000
0.500 0.000 0.000
0.500 0.500 0.500
```

Version two
Computed, not measured: a relaxed HfCuHg crystal at the PBE level of DFT.

Results
Magnetic moment (Bohr magnetons per cell): 0.0

The structure in POSCAR format:
```
HfCuHg
1.0
3.288 0.000 0.000
0.000 3.288 0.000
0.000 0.000 10.016
Hf Cu Hg
2 2 2
direct
0.250 0.250 0.209
0.750 0.750 0.791
0.250 0.250 0.941
0.750 0.750 0.059
0.250 0.250 0.599
0.750 0.750 0.401
```

Version three
Computed, not measured: a relaxed HfCuHg crystal at the PBE level of DFT.

Results
Magnetic moment (Bohr magnetons per cell): 0.0

The structure in POSCAR format:
```
HfCuHg
1.0
3.280 0.000 0.000
0.000 3.280 0.000
0.000 0.000 9.930
Hf Cu Hg
2 2 2
direct
0.000 0.000 0.000
0.500 0.500 0.500
0.000 0.000 0.341
0.500 0.500 0.841
0.000 0.000 0.691
0.500 0.500 0.191
```

Which of them is the least stable? Correct choice: version one.

Version one
Computed, not measured: a relaxed HfCuSiHg crystal at the PBE level of DFT.

Results
Magnetic moment (Bohr magnetons per cell): 0.1

The structure in POSCAR format:
```
HfCuSiHg
1.0
6.548 0.000 0.000
0.000 6.548 0.000
0.000 0.000 6.548
Hf Cu Si Hg
4 4 4 4
direct
0.000 0.000 0.000
0.000 0.500 0.500
0.500 0.000 0.500
0.500 0.500 0.000
0.000 0.000 0.500
0.000 0.500 0.000
0.500 0.000 0.000
0.500 0.500 0.500
0.250 0.250 0.250
0.250 0.750 0.750
0.750 0.250 0.750
0.750 0.750 0.250
0.250 0.250 0.750
0.250 0.750 0.250
0.750 0.250 0.250
0.750 0.750 0.750
```

Version two
Computed, not measured: a relaxed HfCuSiHg crystal at the PBE level of DFT.

Results
Magnetic moment (Bohr magnetons per cell): 0.0

The structure in POSCAR format:
```
HfCuSiHg
1.0
6.594 0.000 0.000
0.000 6.594 0.000
0.000 0.000 6.594
Hf Cu Si Hg
4 4 4 4
direct
0.000 0.000 0.000
0.000 0.500 0.500
0.500 0.000 0.500
0.500 0.500 0.000
0.250 0.250 0.750
0.250 0.750 0.250
0.750 0.250 0.250
0.750 0.750 0.750
0.000 0.000 0.500
0.000 0.500 0.000
0.500 0.000 0.000
0.500 0.500 0.500
0.250 0.250 0.250
0.250 0.750 0.750
0.750 0.250 0.750
0.750 0.750 0.250
```

Which of them is the least stable? Correct choice: version two.

Version one
Computed, not measured: a relaxed HfCuSnHg crystal at the PBE level of DFT.

Results
Magnetic moment (Bohr magnetons per cell): 0.0

The structure in POSCAR format:
```
HfCuSnHg
1.0
6.857 0.000 0.000
0.000 6.857 0.000
0.000 0.000 6.857
Hf Cu Sn Hg
4 4 4 4
direct
0.000 0.000 0.000
0.000 0.500 0.500
0.500 0.000 0.500
0.500 0.500 0.000
0.250 0.250 0.750
0.250 0.750 0.250
0.750 0.250 0.250
0.750 0.750 0.750
0.000 0.000 0.500
0.000 0.500 0.000
0.500 0.000 0.000
0.500 0.500 0.500
0.250 0.250 0.250
0.250 0.750 0.750
0.750 0.250 0.750
0.750 0.750 0.250
```

Version two
Computed, not measured: a relaxed HfCuSnHg crystal at the PBE level of DFT.

Results
Magnetic moment (Bohr magnetons per cell): 0.2

The structure in POSCAR format:
```
HfCuSnHg
1.0
6.849 0.000 0.000
0.000 6.849 0.000
0.000 0.000 6.849
Hf Cu Sn Hg
4 4 4 4
direct
0.000 0.000 0.000
0.000 0.500 0.500
0.500 0.000 0.500
0.500 0.500 0.000
0.000 0.000 0.500
0.000 0.500 0.000
0.500 0.000 0.000
0.500 0.500 0.500
0.250 0.250 0.250
0.250 0.750 0.750
0.750 0.250 0.750
0.750 0.750 0.250
0.250 0.250 0.750
0.250 0.750 0.250
0.750 0.250 0.250
0.750 0.750 0.750
```

Which of them is the least stable? Correct choice: version one.

Version one
Computed, not measured: a relaxed HfTlCuHg crystal at the PBE level of DFT.

Results
Magnetic moment (Bohr magnetons per cell): 0.0

The structure in POSCAR format:
```
HfTlCuHg
1.0
6.865 0.000 0.000
0.000 6.865 0.000
0.000 0.000 6.865
Hf Tl Cu Hg
4 4 4 4
direct
0.000 0.000 0.000
0.000 0.500 0.500
0.500 0.000 0.500
0.500 0.500 0.000
0.000 0.000 0.500
0.000 0.500 0.000
0.500 0.000 0.000
0.500 0.500 0.500
0.250 0.250 0.750
0.250 0.750 0.250
0.750 0.250 0.250
0.750 0.750 0.750
0.250 0.250 0.250
0.250 0.750 0.750
0.750 0.250 0.750
0.750 0.750 0.250
```

Version two
Computed, not measured: a relaxed HfTlCuHg crystal at the PBE level of DFT.

Results
Magnetic moment (Bohr magnetons per cell): 0.0

The structure in POSCAR format:
```
HfTlCuHg
1.0
6.845 0.000 0.000
0.000 6.845 0.000
0.000 0.000 6.845
Hf Tl Cu Hg
4 4 4 4
direct
0.000 0.000 0.000
0.000 0.500 0.500
0.500 0.000 0.500
0.500 0.500 0.000
0.250 0.250 0.250
0.250 0.750 0.750
0.750 0.250 0.750
0.750 0.750 0.250
0.000 0.000 0.500
0.000 0.500 0.000
0.500 0.000 0.000
0.500 0.500 0.500
0.250 0.250 0.750
0.250 0.750 0.250
0.750 0.250 0.250
0.750 0.750 0.750
```

Which of them is the least stable? Correct choice: version one.